(1)
{"formula": "CsLi2I2", "functional": "PBE", "state": "relaxed", "cell": [[-2.428, 2.428, 11.371], [2.428, -2.428, 11.371], [2.428, 2.428, -11.371]], "species": ["Cs", "Li", "Li", "I", "I"], "fractional_positions": [[0.000, 0.000, 0.000], [0.250, 0.750, 0.500], [0.750, 0.250, 0.500], [0.313, 0.313, 0.000], [0.687, 0.687, 0.000]], "energy_ha_per_atom": -0.091}

=====

(2)
{"formula": "Cs3LiI4", "functional": "PBE", "state": "relaxed", "cell": [[12.485, 0.000, 0.000], [0.000, 10.335, 0.000], [0.000, 0.000, 7.720]], "species": ["Cs", "Cs", "Cs", "Cs", "Cs", "Cs", "Li", "Li", "I", "I", "I", "I", "I", "I", "I", "I"], "fractional_positions": [[0.000, 0.133, 0.000], [0.228, 0.332, 0.503], [0.272, 0.668, 0.003], [0.500, 0.867, 0.500], [0.728, 0.668, 0.003], [0.772, 0.332, 0.503], [0.000, 0.819, 0.429], [0.500, 0.181, 0.929], [0.000, 0.090, 0.501], [0.000, 0.781, 0.069], [0.208, 0.703, 0.509], [0.292, 0.297, 0.009], [0.500, 0.219, 0.569], [0.500, 0.910, 0.001], [0.708, 0.297, 0.009], [0.792, 0.703, 0.509]], "relative_energy_mev_per_atom": 47}

=====

(3)
{"formula": "CsLiI2", "functional": "PBE", "state": "relaxed", "cell": [[4.812, 0.000, 0.000], [-0.001, 8.370, 0.000], [-2.406, -4.169, 8.778]], "species": ["Cs", "Cs", "Li", "Li", "I", "I", "I", "I"], "fractional_positions": [[0.138, 0.136, 0.275], [0.862, 0.864, 0.725], [0.400, 0.400, 0.801], [0.600, 0.600, 0.199], [0.186, 0.687, 0.373], [0.500, 0.244, 0.001], [0.500, 0.756, 0.999], [0.814, 0.313, 0.627]], "energy_ha_per_atom": -0.105}

=====

(4)
{"formula": "CsLi6I8", "functional": "PBE", "state": "relaxed", "cell": [[5.825, 3.363, 4.641], [-5.825, 3.363, 4.641], [0.000, -6.727, 4.641]], "species": ["Cs", "Li", "Li", "Li", "Li", "Li", "Li", "I", "I", "I", "I", "I", "I", "I", "I"], "fractional_positions": [[0.000, 0.000, 0.000], [0.179, 0.587, 0.401], [0.401, 0.179, 0.587], [0.413, 0.599, 0.821], [0.587, 0.401, 0.179], [0.599, 0.821, 0.413], [0.821, 0.413, 0.599], [0.138, 0.394, 0.727], [0.273, 0.862, 0.606], [0.278, 0.278, 0.278], [0.394, 0.727, 0.138], [0.606, 0.273, 0.862], [0.722, 0.722, 0.722], [0.727, 0.138, 0.394], [0.862, 0.606, 0.273]], "energy_ha_per_atom": -0.100}

=====

(5)
{"formula": "Cs3LiI", "functional": "PBE", "state": "relaxed", "cell": [[7.488, 0.000, 0.000], [0.000, 7.488, 0.000], [0.000, 0.000, 7.488]], "species": ["Cs", "Cs", "Cs", "Li", "I"], "fractional_positions": [[0.000, 0.000, 0.500], [0.000, 0.500, 0.000], [0.500, 0.000, 0.000], [0.500, 0.500, 0.500], [0.000, 0.000, 0.000]], "relative_energy_mev_per_atom": 0}

=====

(6)
{"formula": "Cs3Li2I5", "functional": "PBE", "state": "relaxed", "cell": [[15.566, -2.430, 0.000], [15.566, 2.430, 0.000], [-2.263, 0.000, 12.106]], "species": ["Cs", "Cs", "Cs", "Cs", "Cs", "Cs", "Li", "Li", "Li", "Li", "I", "I", "I", "I", "I", "I", "I", "I", "I", "I"], "fractional_positions": [[0.057, 0.057, 0.154], [0.069, 0.069, 0.656], [0.254, 0.254, 0.258], [0.746, 0.746, 0.742], [0.931, 0.931, 0.344], [0.943, 0.943, 0.846], [0.358, 0.358, 0.033], [0.358, 0.358, 0.585], [0.642, 0.642, 0.415], [0.642, 0.642, 0.967], [0.177, 0.177, 0.899], [0.178, 0.178, 0.514], [0.343, 0.343, 0.802], [0.447, 0.447, 0.594], [0.448, 0.448, 0.106], [0.552, 0.552, 0.894], [0.553, 0.553, 0.406], [0.657, 0.657, 0.198], [0.822, 0.822, 0.486], [0.823, 0.823, 0.101]], "energy_ha_per_atom": -0.104}

=====

(7)
{"formula": "CsLiI3", "functional": "PBE", "state": "relaxed", "cell": [[5.871, 0.000, 0.000], [0.000, 5.871, 0.000], [0.000, 0.000, 5.871]], "species": ["Cs", "Li", "I", "I", "I"], "fractional_positions": [[0.000, 0.000, 0.000], [0.500, 0.500, 0.500], [0.000, 0.500, 0.500], [0.500, 0.000, 0.500], [0.500, 0.500, 0.000]], "relative_energy_mev_per_atom": 0}

=====

(8)
{"formula": "CsLiI2", "functional": "PBE", "state": "relaxed", "cell": [[2.372, 1.369, 8.462], [-2.372, 1.369, 8.462], [0.000, -2.739, 8.462]], "species": ["Cs", "Li", "I", "I"], "fractional_positions": [[0.000, 0.000, 0.000], [0.500, 0.500, 0.500], [0.230, 0.230, 0.230], [0.770, 0.770, 0.770]], "energy_ha_per_atom": -0.101}

=====

(9)
{"formula": "Cs4LiI2", "functional": "PBE", "state": "relaxed", "cell": [[-3.618, 3.618, 10.118], [3.618, -3.618, 10.118], [3.618, 3.618, -10.118]], "species": ["Cs", "Cs", "Cs", "Cs", "Li", "I", "I"], "fractional_positions": [[0.000, 0.500, 0.500], [0.206, 0.206, 0.000], [0.500, 0.000, 0.500], [0.794, 0.794, 0.000], [0.000, 0.000, 0.000], [0.390, 0.390, 0.000], [0.610, 0.610, 0.000]], "energy_ha_per_atom": -0.067}

=====

(10)
{"formula": "CsLiI3", "functional": "PBE", "state": "relaxed", "cell": [[9.900, -3.149, 0.000], [9.900, 3.149, 0.000], [-3.255, 0.000, 10.087]], "species": ["Cs", "Cs", "Li", "Li", "I", "I", "I", "I", "I", "I"], "fractional_positions": [[0.197, 0.197, 0.271], [0.803, 0.803, 0.729], [0.496, 0.496, 0.812], [0.504, 0.504, 0.188], [0.376, 0.376, 0.588], [0.386, 0.386, 0.269], [0.388, 0.388, 0.939], [0.612, 0.612, 0.061], [0.614, 0.614, 0.731], [0.624, 0.624, 0.412]], "relative_energy_mev_per_atom": 9}

=====

(11)
{"formula": "Cs3Li2I4", "functional": "PBE", "state": "relaxed", "cell": [[10.594, -5.955, 0.000], [10.594, 5.955, 0.000], [-2.748, 0.000, 7.849]], "species": ["Cs", "Cs", "Cs", "Cs", "Cs", "Cs", "Li", "Li", "Li", "Li", "I", "I", "I", "I", "I", "I", "I", "I"], "fractional_positions": [[0.110, 0.890, 0.750], [0.206, 0.520, 0.109], [0.480, 0.794, 0.391], [0.520, 0.206, 0.609], [0.794, 0.480, 0.891], [0.890, 0.110, 0.250], [0.093, 0.337, 0.433], [0.337, 0.093, 0.933], [0.663, 0.907, 0.067], [0.907, 0.663, 0.567], [0.123, 0.223, 0.097], [0.179, 0.522, 0.579], [0.223, 0.123, 0.597], [0.478, 0.821, 0.921], [0.522, 0.179, 0.079], [0.777, 0.877, 0.403], [0.821, 0.478, 0.421], [0.877, 0.777, 0.903]], "energy_ha_per_atom": -0.095}

=====

(12)
{"formula": "CsLiI3", "functional": "PBE", "state": "relaxed", "cell": [[7.170, 0.000, 0.000], [0.000, 7.170, 0.000], [0.000, 0.000, 7.170]], "species": ["Cs", "Li", "I", "I", "I"], "fractional_positions": [[0.000, 0.000, 0.000], [0.500, 0.500, 0.500], [0.000, 0.000, 0.500], [0.000, 0.500, 0.000], [0.500, 0.000, 0.000]], "relative_energy_mev_per_atom": 564}

=====

Number 1: calculated volume 53.615 Å³ per atom. Number 2: calculated volume 62.257 Å³ per atom. Number 3: calculated volume 44.194 Å³ per atom. Number 4: calculated volume 36.372 Å³ per atom. Number 5: calculated volume 83.964 Å³ per atom. Number 6: calculated volume 45.799 Å³ per atom. Number 7: calculated volume 40.476 Å³ per atom. Number 8: calculated volume 41.231 Å³ per atom. Number 9: calculated volume 75.670 Å³ per atom. Number 10: calculated volume 62.885 Å³ per atom. Number 11: calculated volume 55.026 Å³ per atom. Number 12: calculated volume 73.735 Å³ per atom.